The following is a GGA+U calculation of an optimized crystal structure of CoH4Br2O2, from Alexandria via LeMat-Bulk.

## Properties
Volume (Å³ per atom): 15.38
Uncorrected energy (eV per atom): -4.418

a = 8.8833 Å, b = 8.6600 Å, c = 3.8082 Å
α = 90.00°, β = 109.13°, γ = 90.00°
Space group C2/m (No. 12)
Asymmetric unit:
1 Co 0.0000 0.0000 0.0000 (multiplicity 2)
2 H 0.0931 0.3011 0.1149 (multiplicity 8)
3 Br 0.2208 0.0000 0.6677 (multiplicity 4)
4 O 0.0000 0.2341 0.0000 (multiplicity 4)

***

The following is a GGA+U calculation of an optimized crystal structure of CoH12Br2O6, from Alexandria via LeMat-Bulk.

## Properties
Volume (Å³ per atom): 10.90
Uncorrected energy (eV per atom): -4.721

a = 11.0496 Å, b = 7.1897 Å, c = 7.0936 Å
α = 90.00°, β = 125.66°, γ = 90.00°
Space group C2/m (No. 12)
Asymmetric unit:
1 Co 0.0000 0.0000 0.0000 (multiplicity 2)
2 H 0.0439 0.2617 0.7770 (multiplicity 8)
3 H 0.1122 0.3058 0.2716 (multiplicity 8)
4 H 0.1903 0.0000 0.5466 (multiplicity 4)
5 H 0.2313 0.5000 0.1807 (multiplicity 4)
6 Br 0.2168 0.5000 0.8443 (multiplicity 4)
7 O 0.0444 0.2011 0.2471 (multiplicity 8)
8 O 0.2123 0.5000 0.3015 (multiplicity 4)